Here is a geometry-optimized Tl2Ag3Br6 structure from Alexandria. Energies are from GGA-PBE.

POSCAR file:
```
Tl2Ag3Br6
1.0
5.384 0.000 0.000
0.000 7.443 -4.297
0.000 0.000 8.595
Br Ag Tl
6 3 2
Direct
0.000 0.260 0.000 Br
0.500 0.000 0.636 Br
0.500 0.636 0.000 Br
0.000 0.000 0.260 Br
0.500 0.364 0.364 Br
0.000 0.740 0.740 Br
0.500 0.000 0.218 Ag
0.500 0.782 0.782 Ag
0.500 0.218 0.000 Ag
0.000 0.667 0.333 Tl
0.000 0.333 0.667 Tl
```

Calculated values
Fermi-level density of states	8.31	states/eV/cell
formation energy from raw total energies	-0.447	eV/atom
space group	P-62m (189)
V	344	Å³/f.u.